An optimized crystal structure of HfTiCN. Source: Alexandria, functional GGA-PBEsol.

a = 3.1257 Å, b = 3.1257 Å, c = 15.2406 Å
α = 90.00°, β = 90.00°, γ = 120.00°
Space group R3m (No. 160, hexagonal axes)
Symmetry-distinct sites (fractional):
Hf 0.0000 0.0000 0.0000 x3
Ti 0.0000 0.0000 0.5014 x3
C 0.0000 0.0000 0.2460 x3
N 0.0000 0.0000 0.7531 x3

* energy: -128.577 eV for the cell shown
* magnetization: 0.000 Bohr magnetons per cell
* volume: 10.75 Å³/atom
* formation energy from raw total energies: -5.86 eV per formula unit

An optimized crystal structure of HfZrCN. Source: Alexandria, functional GGA-PBEsol.

a = 3.2416 Å, b = 3.2416 Å, c = 15.8807 Å
α = 90.00°, β = 90.00°, γ = 120.00°
Space group R3m (No. 160, hexagonal axes)
Symmetry-distinct sites (fractional):
Hf 0.0000 0.0000 0.0000 x3
Zr 0.0000 0.0000 0.5016 x3
C 0.0000 0.0000 0.2523 x3
N 0.0000 0.0000 0.7488 x3

* energy: -131.579 eV for the cell shown
* magnetization: 0.000 Bohr magnetons per cell
* volume: 12.04 Å³/atom
* formation energy from raw total energies: -6.10 eV per formula unit

An optimized crystal structure of NaHfOsC2. Source: Alexandria, functional GGA-PBEsol.

a = 4.002 Å, b = 4.002 Å, c = 4.581 Å
α = 90.00°, β = 90.00°, γ = 90.00°
Space group P4/mmm (No. 123)
Symmetry-distinct sites (fractional):
Na 0.000 0.000 0.000 x1
Hf 0.500 0.500 0.500 x1
Os 0.000 0.000 0.500 x1
C 0.000 0.500 0.000 x2

* energy: -28.771 eV for the cell shown
* magnetization: 0.000 Bohr magnetons per cell
* volume: 14.68 Å³/atom
* calculated formation energy: 2.9271 eV/atom

An optimized crystal structure of NaHfZr2C. Source: Alexandria, functional GGA-PBEsol.

a = 4.525 Å, b = 4.525 Å, c = 4.712 Å
α = 90.00°, β = 90.00°, γ = 90.00°
Space group P4/mmm (No. 123)
Symmetry-distinct sites (fractional):
Na 0.000 0.000 0.000 x1
Hf 0.500 0.500 0.000 x1
Zr 0.000 0.500 0.500 x2
C 0.000 0.000 0.500 x1

* energy: -37.789 eV for the cell shown
* magnetization: 0.001 Bohr magnetons per cell
* volume: 19.30 Å³/atom
* calculated formation energy: 0.3875 eV/atom

An optimized crystal structure of HfNbC2. Source: Alexandria, functional GGA-PBEsol.

a = 3.1989 Å, b = 3.1989 Å, c = 15.7499 Å
α = 90.00°, β = 90.00°, γ = 120.00°
Space group R-3m (No. 166, hexagonal axes)
Symmetry-distinct sites (fractional):
Hf 0.0000 0.0000 0.0000 x3
Nb 0.0000 0.0000 0.5000 x3
C 0.0000 0.0000 0.2482 x6

* energy: -131.554 eV for the cell shown
* magnetization: 0.000 Bohr magnetons per cell
* volume: 11.63 Å³/atom
* calculated formation energy: -0.8098 eV/atom

An optimized crystal structure of HfRuCO2. Source: Alexandria, functional GGA-PBEsol.

a = 3.772 Å, b = 3.772 Å, c = 3.944 Å
α = 90.00°, β = 90.00°, γ = 90.00°
Space group P4/mmm (No. 123)
Symmetry-distinct sites (fractional):
Hf 0.000 0.000 0.000 x1
Ru 0.500 0.500 0.500 x1
C 0.500 0.500 0.000 x1
O 0.000 0.500 0.500 x2

* energy: -42.078 eV for the cell shown
* magnetization: 0.282 Bohr magnetons per cell
* volume: 11.22 Å³/atom
* formation energy from raw total energies: -1.26 eV per formula unit